TbLuGaIr | PBE-GGA | optimized geometry

As for the raw total energy: -5.97 eV per atom. For the density of states at the Fermi level, the calculation gives 8.60 states/eV per cell. The value obtained for the formation energy from the elements is -0.71 eV/atom.

The space group is F-43m (No. 216) and the conventional cell measures 6.951, 6.951 and 6.951 Å, with angles of 90.00, 90.00 and 90.00 degrees. The distinct sites, in fractional coordinates, are Tb at (0.000, 0.000, 0.000), Lu at (0.000, 0.000, 0.500), Ga at (0.250, 0.250, 0.750) and Ir at (0.250, 0.250, 0.250).